[1]
A plane-wave DFT calculation with PBE was carried out for a geometry-optimized Ho2MgMo structure.

Values from the calculation:
E_form, eV/f.u.: 0.61
Raw total energy, eV for the cell shown: -20.97
Magnetic moment, μB/f.u.: 0.0

a = 3.509 Å, b = 3.509 Å, c = 8.010 Å
α = 90.00°, β = 90.00°, γ = 90.00°
Positions (direct):
Mg 0.500 0.500 0.500
Mo 0.500 0.500 0.000
Ho 0.000 0.000 0.790
Ho 0.000 0.000 0.210

***

[2]
A plane-wave DFT calculation with PBE was carried out for a geometry-optimized YHf2P3 structure.

Values from the calculation:
E_form, eV/f.u.: -8.15
Raw total energy, eV for the cell shown: -50.75
Magnetic moment, μB/f.u.: 0.0

a = 3.777 Å, b = 5.372 Å, c = 6.582 Å
α = 114.09°, β = 106.68°, γ = 90.00°
Positions (direct):
Y 0.000 0.500 0.000
Hf 0.662 0.162 0.324
Hf 0.338 0.838 0.676
P 0.323 0.323 0.646
P 0.000 0.000 0.000
P 0.677 0.677 0.354

***

[3]
A plane-wave DFT calculation with PBE was carried out for a geometry-optimized Cs2Cd3InAu4 structure.

Values from the calculation:
E_form, eV/f.u.: -2.11
Raw total energy, eV for the cell shown: -22.41
Magnetic moment, μB/f.u.: 0.0

a = 5.104 Å, b = 5.104 Å, c = 11.266 Å
α = 90.00°, β = 90.00°, γ = 90.00°
Positions (direct):
Cs 0.500 0.000 0.238
Cs 0.000 0.500 0.762
Cd 0.000 0.000 0.500
Cd 0.500 0.000 0.879
Cd 0.000 0.500 0.121
In 0.500 0.500 0.500
Au 0.500 0.500 0.000
Au 0.000 0.000 0.000
Au 0.500 0.000 0.621
Au 0.000 0.500 0.379

***

[4]
A plane-wave DFT calculation with PBE was carried out for a geometry-optimized PmPr3NdY structure.

Values from the calculation:
E_form, eV/f.u.: 0.65
Raw total energy, eV for the cell shown: -59.35
Magnetic moment, μB/f.u.: 0.0

a = 6.084 Å, b = 6.432 Å, c = 12.171 Å
α = 90.00°, β = 90.00°, γ = 118.23°
Positions (direct):
Pm 0.520 0.040 0.750
Pm 0.480 0.960 0.250
Pr 0.668 0.335 0.483
Pr 0.332 0.665 0.517
Pr 0.332 0.665 0.983
Pr 0.668 0.335 0.017
Pr 0.147 0.294 0.750
Pr 0.853 0.706 0.250
Nd 0.000 0.000 0.500
Nd 0.000 0.000 0.000
Y 0.832 0.665 0.750
Y 0.168 0.335 0.250

***

[5]
A plane-wave DFT calculation with PBE was carried out for a geometry-optimized Ho4SbAs2S structure.

Values from the calculation:
Raw total energy, eV for the cell shown: -48.09
Magnetic moment, μB/f.u.: 0.0
Formation energy without anion corrections, eV per atom: -1.528

a = 4.124 Å, b = 7.152 Å, c = 7.141 Å
α = 70.67°, β = 90.00°, γ = 90.00°
Positions (direct):
Ho 0.000 0.762 0.738
Ho 0.000 0.238 0.262
Ho 0.500 0.758 0.254
Ho 0.500 0.242 0.746
Sb 0.500 0.500 0.000
As 0.000 0.000 0.000
As 0.500 0.000 0.500
S 0.000 0.500 0.500

***

[6]
A plane-wave DFT calculation with PBE was carried out for a geometry-optimized BaPmEuIn structure.

Values from the calculation:
E_form, eV/f.u.: -0.33
Raw total energy, eV for the cell shown: -20.02
Magnetic moment, μB/f.u.: 7.3

a = 5.889 Å, b = 5.889 Å, c = 5.889 Å
α = 60.00°, β = 60.00°, γ = 60.00°
Positions (direct):
Eu 0.750 0.750 0.750
In 0.250 0.250 0.250
Ba 0.000 0.000 0.000
Pm 0.500 0.500 0.500

***

[7]
A plane-wave DFT calculation with PBE was carried out for a geometry-optimized Ba2Zn3In6 structure.

Values from the calculation:
E_form, eV/f.u.: -2.96
Raw total energy, eV for the cell shown: -27.06
Magnetic moment, μB/f.u.: 0.0

a = 4.718 Å, b = 8.624 Å, c = 8.624 Å
α = 120.00°, β = 90.00°, γ = 90.00°
Positions (direct):
Ba 0.000 0.667 0.333
Ba 0.000 0.333 0.667
Zn 0.500 0.365 0.365
Zn 0.500 0.635 0.000
Zn 0.500 0.000 0.635
In 0.500 0.691 0.691
In 0.500 0.000 0.309
In 0.000 0.200 0.200
In 0.000 0.800 0.000
In 0.500 0.309 0.000
In 0.000 0.000 0.800

***

[8]
A plane-wave DFT calculation with PBE was carried out for a geometry-optimized LiMg5Rh6 structure.

Values from the calculation:
E_form, eV/f.u.: -4.43
Raw total energy, eV for the cell shown: -58.43
Magnetic moment, μB/f.u.: 0.0

a = 4.377 Å, b = 6.214 Å, c = 7.550 Å
α = 114.31°, β = 106.39°, γ = 90.00°
Positions (direct):
Mg 0.670 0.170 0.341
Mg 0.335 0.335 0.669
Mg 0.000 0.500 0.000
Mg 0.665 0.665 0.331
Mg 0.330 0.830 0.659
Rh 0.837 0.592 0.673
Rh 0.837 0.081 0.673
Rh 0.500 0.761 0.000
Rh 0.500 0.239 0.000
Rh 0.163 0.919 0.327
Rh 0.163 0.408 0.327
Li 0.000 0.000 0.000

***

[9]
A plane-wave DFT calculation with PBE was carried out for a geometry-optimized PIrSe2 structure.

Values from the calculation:
Raw total energy, eV for the cell shown: -20.42
Magnetic moment, μB/f.u.: 0.0
Formation energy without anion corrections, eV per atom: 0.205

a = 4.482 Å, b = 4.482 Å, c = 4.482 Å
α = 108.92°, β = 108.92°, γ = 110.58°
Positions (direct):
P 0.500 0.500 0.000
Ir 0.000 0.000 0.000
Se 0.000 0.500 0.500
Se 0.500 0.000 0.500

***

[10]
A plane-wave DFT calculation with PBE was carried out for a geometry-optimized In12Hg5Se3 structure.

Values from the calculation:
Raw total energy, eV for the cell shown: -176.51
Magnetic moment, μB/f.u.: 0.0
Formation energy without anion corrections, eV per atom: 0.035

a = 15.075 Å, b = 15.075 Å, c = 15.075 Å
α = 109.47°, β = 109.47°, γ = 109.47°
Positions (direct):
Se 0.750 0.375 0.125
Se 0.875 0.750 0.125
Se 0.375 0.750 0.625
Se 0.250 0.125 0.375
Se 0.875 0.125 0.250
Se 0.375 0.625 0.250
Se 0.625 0.375 0.750
Se 0.125 0.875 0.750
Se 0.750 0.875 0.625
Se 0.625 0.250 0.375
Se 0.125 0.250 0.875
Se 0.250 0.625 0.875
Hg 0.125 0.375 0.250
Hg 0.000 0.500 0.000
Hg 0.000 0.000 0.000
Hg 0.375 0.250 0.125
Hg 0.500 0.000 0.500
Hg 0.500 0.500 0.000
Hg 0.125 0.750 0.375
Hg 0.750 0.125 0.875
Hg 0.750 0.625 0.375
Hg 0.375 0.125 0.750
Hg 0.625 0.875 0.250
Hg 0.500 0.500 0.500
Hg 0.500 0.000 0.000
Hg 0.000 0.000 0.500
Hg 0.250 0.375 0.625
Hg 0.250 0.875 0.125
Hg 0.000 0.500 0.500
Hg 0.875 0.250 0.625
Hg 0.625 0.750 0.875
Hg 0.875 0.625 0.750
In 0.729 0.145 0.066
In 0.336 0.566 0.421
In 0.934 0.355 0.271
In 0.566 0.229 0.145
In 0.585 0.729 0.664
In 0.934 0.579 0.164
In 0.336 0.771 0.415
In 0.079 0.915 0.145
In 0.579 0.934 0.664
In 0.729 0.585 0.164
In 0.771 0.434 0.355
In 0.836 0.921 0.066
In 0.145 0.729 0.566
In 0.355 0.421 0.085
In 0.085 0.921 0.355
In 0.415 0.145 0.579
In 0.085 0.164 0.229
In 0.434 0.664 0.079
In 0.836 0.915 0.271
In 0.145 0.415 0.079
In 0.355 0.934 0.771
In 0.579 0.645 0.415
In 0.921 0.836 0.566
In 0.771 0.336 0.915
In 0.421 0.355 0.585
In 0.079 0.164 0.434
In 0.229 0.664 0.085
In 0.164 0.085 0.729
In 0.645 0.066 0.229
In 0.855 0.585 0.921
In 0.566 0.336 0.921
In 0.585 0.855 0.421
In 0.915 0.836 0.771
In 0.915 0.079 0.645
In 0.855 0.271 0.434
In 0.164 0.079 0.934
In 0.645 0.579 0.915
In 0.421 0.066 0.336
In 0.271 0.415 0.836
In 0.229 0.566 0.645
In 0.921 0.085 0.855
In 0.664 0.229 0.585
In 0.434 0.771 0.855
In 0.066 0.421 0.836
In 0.415 0.271 0.336
In 0.066 0.645 0.729
In 0.664 0.434 0.579
In 0.271 0.855 0.934

***

[11]
A plane-wave DFT calculation with PBE was carried out for a geometry-optimized Ac2PmPrNd structure.

Values from the calculation:
E_form, eV/f.u.: 1.25
Raw total energy, eV for the cell shown: -42.52
Magnetic moment, μB/f.u.: 0.0

a = 6.991 Å, b = 8.994 Å, c = 6.432 Å
α = 90.04°, β = 90.00°, γ = 90.00°
Positions (direct):
Ac 0.698 0.702 0.751
Ac 0.698 0.298 0.749
Ac 0.302 0.702 0.251
Ac 0.302 0.298 0.249
Pm 0.161 0.500 0.750
Pm 0.839 0.500 0.250
Pr 0.000 0.000 0.000
Pr 0.000 0.000 0.500
Nd 0.582 0.000 0.250
Nd 0.418 0.000 0.750

***

[12]
A plane-wave DFT calculation with PBE was carried out for a geometry-optimized InOs2BrF structure.

Values from the calculation:
Raw total energy, eV for the cell shown: -20.63
Magnetic moment, μB/f.u.: 2.2
Formation energy without anion corrections, eV per atom: 1.623

a = 4.508 Å, b = 7.741 Å, c = 4.508 Å
α = 90.00°, β = 90.00°, γ = 90.00°
Positions (direct):
F 0.500 0.500 0.500
Os 0.000 0.000 0.500
Os 0.500 0.000 0.000
Br 0.000 0.000 0.000
In 0.000 0.500 0.000

***

[13]
A plane-wave DFT calculation with PBE was carried out for a geometry-optimized Dy3GeP2Rh9 structure.

Values from the calculation:
E_form, eV/f.u.: -10.22
Raw total energy, eV for the cell shown: -105.62
Magnetic moment, μB/f.u.: 0.0

a = 6.091 Å, b = 6.091 Å, c = 8.678 Å
α = 90.00°, β = 90.00°, γ = 120.00°
Positions (direct):
Dy 0.333 0.667 0.700
Dy 0.000 0.000 0.000
Dy 0.667 0.333 0.300
Ge 0.000 0.000 0.500
P 0.333 0.667 0.168
P 0.667 0.333 0.832
Rh 0.850 0.150 0.717
Rh 0.850 0.700 0.717
Rh 0.300 0.150 0.717
Rh 0.700 0.850 0.283
Rh 0.150 0.300 0.283
Rh 0.150 0.850 0.283
Rh 0.500 0.000 0.000
Rh 0.000 0.500 0.000
Rh 0.500 0.500 0.000

***

[14]
A plane-wave DFT calculation with PBE was carried out for a geometry-optimized Zn2MoRh structure.

Values from the calculation:
ΔE to the lowest computed polymorph, eV per formula unit: 0.37
E_form, eV/f.u.: -0.25
Raw total energy, eV for the cell shown: -20.98
Magnetic moment, μB/f.u.: 0.0

a = 4.661 Å, b = 4.661 Å, c = 4.792 Å
α = 82.41°, β = 82.41°, γ = 34.54°
Positions (direct):
Mo 0.498 0.498 0.521
Rh 0.749 0.749 0.731
Zn 0.002 0.002 0.016
Zn 0.251 0.251 0.231

***

[15]
A plane-wave DFT calculation with PBE was carried out for a geometry-optimized InSnC2O structure.

Values from the calculation:
Raw total energy, eV for the cell shown: -20.19
Magnetic moment, μB/f.u.: 0.0
Formation energy without anion corrections, eV per atom: 1.991

a = 4.232 Å, b = 4.248 Å, c = 4.232 Å
α = 90.00°, β = 90.00°, γ = 90.00°
Positions (direct):
C 0.000 0.000 0.500
C 0.500 0.000 0.000
Sn 0.000 0.500 0.000
O 0.000 0.000 0.000
In 0.500 0.500 0.500

***

[16]
A plane-wave DFT calculation with PBE was carried out for a geometry-optimized RbNaLiBi structure.

Values from the calculation:
ΔE to the lowest computed polymorph, eV per formula unit: 0.00
E_form, eV/f.u.: -1.53
Raw total energy, eV for the cell shown: -9.61
Magnetic moment, μB/f.u.: 0.0

a = 5.197 Å, b = 5.197 Å, c = 7.210 Å
α = 68.88°, β = 68.88°, γ = 60.00°
Positions (direct):
Rb 0.819 0.819 0.542
Na 0.004 0.004 0.987
Li 0.286 0.286 0.142
Bi 0.616 0.616 0.151

***

[17]
A plane-wave DFT calculation with PBE was carried out for a geometry-optimized Cs2TiSiS4 structure.

Values from the calculation:
Raw total energy, eV for the cell shown: -80.22
Magnetic moment, μB/f.u.: 0.0
Formation energy without anion corrections, eV per atom: -1.072

a = 6.403 Å, b = 7.623 Å, c = 12.862 Å
α = 84.00°, β = 75.59°, γ = 65.17°
Positions (direct):
Cs 0.176 0.000 0.648
Cs 0.824 0.000 0.352
Cs 0.574 0.500 0.852
Cs 0.926 0.500 0.148
Ti 0.750 0.500 0.500
Ti 0.000 0.000 0.000
Si 0.250 0.500 0.500
Si 0.500 0.000 0.000
S 0.293 0.831 0.092
S 0.216 0.169 0.908
S 0.876 0.831 0.908
S 0.615 0.169 0.092
S 0.457 0.669 0.408
S 0.534 0.331 0.592
S 0.874 0.669 0.592
S 0.135 0.331 0.408

***

[18]
A plane-wave DFT calculation with PBE was carried out for a geometry-optimized Hf2ReAgHg structure.

Values from the calculation:
ΔE to the lowest computed polymorph, eV per formula unit: 0.00
E_form, eV/f.u.: 7.65
Raw total energy, eV for the cell shown: -27.86
Magnetic moment, μB/f.u.: 0.7

a = 5.020 Å, b = 4.845 Å, c = 5.020 Å
α = 90.00°, β = 90.00°, γ = 90.00°
Positions (direct):
Re 0.000 0.500 0.000
Hf 0.000 0.000 0.500
Hf 0.500 0.000 0.000
Hg 0.500 0.500 0.500
Ag 0.000 0.000 0.000

***

[19]
A plane-wave DFT calculation with PBE was carried out for a geometry-optimized Pm3Ho structure.

Values from the calculation:
ΔE to the lowest computed polymorph, eV per formula unit: 0.11
E_form, eV/f.u.: 0.11
Raw total energy, eV for the cell shown: -18.72
Magnetic moment, μB/f.u.: 0.0

a = 3.668 Å, b = 6.326 Å, c = 6.883 Å
α = 117.36°, β = 105.45°, γ = 90.00°
Positions (direct):
Ho 0.000 0.001 0.000
Pm 0.252 0.585 0.504
Pm 0.500 0.500 0.000
Pm 0.748 0.081 0.496

***

[20]
A plane-wave DFT calculation with PBE was carried out for a geometry-optimized Pm8Ir2Rh3 structure.

Values from the calculation:
ΔE to the lowest computed polymorph, eV per formula unit: 0.00
E_form, eV/f.u.: -7.64
Raw total energy, eV for the cell shown: -85.42
Magnetic moment, μB/f.u.: 0.0

a = 4.926 Å, b = 9.912 Å, c = 8.567 Å
α = 125.27°, β = 90.00°, γ = 90.00°
Positions (direct):
Pm 0.000 0.624 0.248
Pm 0.000 0.376 0.752
Pm 0.000 0.126 0.251
Pm 0.000 0.874 0.749
Pm 0.500 0.625 0.751
Pm 0.500 0.126 0.751
Pm 0.500 0.874 0.249
Pm 0.500 0.375 0.249
Ir 0.500 0.251 0.502
Ir 0.500 0.749 0.498
Rh 0.500 0.000 0.000
Rh 0.000 0.249 0.000
Rh 0.000 0.751 0.000

***

[21]
A plane-wave DFT calculation with PBE was carried out for a geometry-optimized KSr2 structure.

Values from the calculation:
E_form, eV/f.u.: 1.39
Raw total energy, eV for the cell shown: -12.27
Magnetic moment, μB/f.u.: 0.0

a = 9.173 Å, b = 9.173 Å, c = 9.173 Å
α = 90.00°, β = 90.00°, γ = 90.00°
Positions (direct):
Sr 0.637 0.637 0.363
Sr 0.363 0.363 0.637
Sr 0.137 0.863 0.637
Sr 0.863 0.137 0.363
Sr 0.363 0.137 0.137
Sr 0.637 0.863 0.863
Sr 0.863 0.363 0.863
Sr 0.137 0.637 0.137
K 0.000 0.000 0.000
K 0.500 0.500 0.000
K 0.500 0.000 0.500
K 0.000 0.500 0.500